# Ir2C

An optimized crystal structure of Ir2C (PBEsol, Alexandria).

a b c (Å): 3.0189 3.0189 3.9866
angles (deg): 90.00 90.00 90.00
Positions (direct):
1 C 0.0000 0.0000 0.0000
2 Ir 0.0000 0.0000 0.5000
3 Ir 0.5000 0.5000 0.0000

Calculated values
DFT formation energy, eV per atom: 0.881
Calculated density, kg/m³: 18119
Symmetry: P4/mmm, No. 123
Magnetization, μB/cell: 0.0
Distance to the lowest polymorph of the same formula, kJ/mol of formula units: 8.3



# Re2PtAu

An optimized crystal structure of Re2PtAu (PBEsol, Alexandria).

a b c (Å): 4.4326 4.4326 4.4326
angles (deg): 60.00 60.00 60.00
Positions (direct):
1 Au 0.5000 0.5000 0.5000
2 Pt 0.2500 0.2500 0.2500
3 Re 0.0000 0.0000 0.0000
4 Re 0.7500 0.7500 0.7500

Calculated values
DFT formation energy, eV per atom: 0.546
Calculated density, kg/m³: 20613
Symmetry: F-43m, No. 216
Magnetization, μB/cell: 0.0
Distance to the lowest polymorph of the same formula, kJ/mol of formula units: 124.2



# Cd2MoW

An optimized crystal structure of Cd2MoW (PBEsol, Alexandria).

a b c (Å): 3.8628 3.8628 4.5604
angles (deg): 90.00 90.00 90.00
Positions (direct):
1 Cd 0.0000 0.5000 0.0000
2 Cd 0.5000 0.0000 0.0000
3 Mo 0.5000 0.5000 0.5000
4 W 0.0000 0.0000 0.5000

Calculated values
DFT formation energy, eV per atom: 0.575
Calculated density, kg/m³: 12314
Symmetry: P4/mmm, No. 123
Magnetization, μB/cell: 0.0
Distance to the lowest polymorph of the same formula, kJ/mol of formula units: 43.7



# BaCu3

An optimized crystal structure of BaCu3 (PBEsol, Alexandria).

a b c (Å): 6.0411 6.7063 7.5270
angles (deg): 90.00 90.00 90.00
Positions (direct):
1 Ba 0.6211 0.7500 0.4734
2 Ba 0.1211 0.2500 0.0266
3 Ba 0.8789 0.7500 0.9734
4 Ba 0.3789 0.2500 0.5266
5 Cu 0.1596 0.7500 0.6469
6 Cu 0.6596 0.2500 0.8531
7 Cu 0.3404 0.7500 0.1469
8 Cu 0.8404 0.2500 0.3531
9 Cu 0.5770 0.0692 0.1412
10 Cu 0.0770 0.9308 0.3588
11 Cu 0.9230 0.4308 0.6412
12 Cu 0.4230 0.5692 0.8588
13 Cu 0.4230 0.9308 0.8588
14 Cu 0.9230 0.0692 0.6412
15 Cu 0.0770 0.5692 0.3588
16 Cu 0.5770 0.4308 0.1412

Calculated values
DFT formation energy, eV per atom: 0.086
Calculated density, kg/m³: 7143
Symmetry: Pnma, No. 62
Magnetization, μB/cell: 0.0



# HfGeAu3

An optimized crystal structure of HfGeAu3 (PBEsol, Alexandria).

a b c (Å): 5.0734 5.0734 5.0734
angles (deg): 90.00 90.00 90.00
Positions (direct):
1 Hf 0.0000 0.0000 0.0000
2 Ge 0.5000 0.5000 0.5000
3 Au 0.0000 0.5000 0.0000
4 Au 0.0000 0.0000 0.5000
5 Au 0.5000 0.0000 0.0000

Calculated values
DFT formation energy, eV per atom: 0.907
Calculated density, kg/m³: 10707
Symmetry: Pm-3m, No. 221
Magnetization, μB/cell: 0.0



# YCr2Pb

An optimized crystal structure of YCr2Pb (PBEsol, Alexandria).

a b c (Å): 4.1526 4.1526 5.5181
angles (deg): 112.10 112.10 90.00
Positions (direct):
1 Cr 0.0000 0.0000 0.0000
2 Cr 0.7500 0.2500 0.5000
3 Pb 0.5000 0.5000 0.0000
4 Y 0.2500 0.7500 0.5000

Calculated values
DFT formation energy, eV per atom: 0.507
Calculated density, kg/m³: 8246
Symmetry: I-4m2, No. 119
Magnetization, μB/cell: 6.7



# MgCu4Au

An optimized crystal structure of MgCu4Au (PBEsol, Alexandria).

a b c (Å): 4.8301 4.8301 4.8301
angles (deg): 60.00 60.00 60.00
Positions (direct):
1 Au 0.0000 0.0000 0.0000
2 Cu 0.8752 0.3749 0.3749
3 Cu 0.3749 0.3749 0.3749
4 Cu 0.3749 0.3749 0.8752
5 Cu 0.3749 0.8752 0.3749
6 Mg 0.7500 0.7500 0.7500

Calculated values
DFT formation energy, eV per atom: -0.142
Calculated density, kg/m³: 9908
Symmetry: F-43m, No. 216
Magnetization, μB/cell: 0.0



# Tb2InPd2

An optimized crystal structure of Tb2InPd2 (PBEsol, Alexandria).

a b c (Å): 3.6790 7.6054 7.6054
angles (deg): 90.00 90.00 90.00
Positions (direct):
1 Tb 0.5000 0.3264 0.8264
2 Tb 0.5000 0.8264 0.6736
3 Tb 0.5000 0.1736 0.3264
4 Tb 0.5000 0.6736 0.1736
5 In 0.0000 0.0000 0.0000
6 In 0.0000 0.5000 0.5000
7 Pd 0.0000 0.3720 0.1280
8 Pd 0.0000 0.8720 0.3720
9 Pd 0.0000 0.1280 0.6280
10 Pd 0.0000 0.6280 0.8720

Calculated values
DFT formation energy, eV per atom: -0.873
Calculated density, kg/m³: 10074
Symmetry: P4/mbm, No. 127
Magnetization, μB/cell: 0.0